# 1
The following is a DFT calculation (PBE) of crystalline PrNd6Th at its relaxed geometry.

* ΔE to the lowest computed polymorph: 121 kJ/mol of formula units
* calculated formation energy: 188.9 meV per atom

Cell: 6.6864 6.8863 6.9050 Å, 61.49 84.69 89.41°
Last column: nearest neighbours and their distance in Å.
Sites, in units of the cell vectors:
Pr: 0.0000 0.0000 0.0000  2 Th 3.34, 4 Nd 3.57-3.59
Nd: 0.2430 0.5799 0.5110  6 Nd 3.28-3.64, 1 Th 3.61
Nd: 0.2566 0.5409 0.0026  5 Nd 3.28-3.64, 1 Th 3.56, 1 Pr 3.57
Nd: 0.2650 0.0893 0.4854  4 Nd 3.31-3.47, 1 Pr 3.59
Nd: 0.7350 0.9107 0.5146  4 Nd 3.31-3.47, 1 Pr 3.59
Nd: 0.7434 0.4591 0.9974  5 Nd 3.28-3.64, 1 Th 3.56, 1 Pr 3.57
Nd: 0.7570 0.4201 0.4890  6 Nd 3.28-3.64, 1 Th 3.61
Th: 0.5000 0.0000 0.0000  2 Pr 3.34, 4 Nd 3.56-3.61


# 2
The following is a DFT calculation (PBE) of crystalline PmGdMnAl at its relaxed geometry.

* calculated formation energy: -53.5 meV per atom

Cell: 5.1645 5.1645 5.1645 Å, 60.00 60.00 60.00°
Last column: nearest neighbours and their distance in Å.
Sites, in units of the cell vectors:
Pm: 0.0000 0.0000 0.0000  4 Al 3.16, 4 Mn 3.16
Gd: 0.5000 0.5000 0.5000  4 Mn 3.16, 4 Al 3.16
Mn: 0.2500 0.2500 0.2500  4 Gd 3.16, 4 Pm 3.16
Al: 0.7500 0.7500 0.7500  4 Gd 3.16, 4 Pm 3.16


# 3
The following is a DFT calculation (PBE) of crystalline Pr3MgAl2Pd9 at its relaxed geometry.

* calculated formation energy: -592.3 meV per atom

Cell: 5.8404 5.8404 10.8738 Å, 90.00 90.00 120.00°
Last column: nearest neighbours and their distance in Å.
Sites, in units of the cell vectors:
Pr: 0.0000 0.0000 0.0000  6 Pd 2.92
Pr: 0.3333 0.6667 0.6227  6 Pd 2.99
Pr: 0.6667 0.3333 0.3773  6 Pd 2.99
Mg: 0.0000 0.0000 0.5000  6 Pd 2.58
Al: 0.3333 0.6667 0.1625  6 Pd 2.41-2.44
Al: 0.6667 0.3333 0.8375  6 Pd 2.41-2.44
Pd: 0.0000 0.5000 0.0000  2 Al 2.44
Pd: 0.1624 0.3247 0.3167  1 Al 2.41, 1 Mg 2.58
Pd: 0.1624 0.8376 0.3167  1 Al 2.41, 1 Mg 2.58
Pd: 0.3247 0.1624 0.6833  1 Al 2.41, 1 Mg 2.58
Pd: 0.5000 0.0000 0.0000  2 Al 2.44
Pd: 0.5000 0.5000 0.0000  2 Al 2.44
Pd: 0.6753 0.8376 0.3167  1 Al 2.41, 1 Mg 2.58
Pd: 0.8376 0.1624 0.6833  1 Al 2.41, 1 Mg 2.58
Pd: 0.8376 0.6753 0.6833  1 Al 2.41, 1 Mg 2.58


# 4
The following is a DFT calculation (PBE) of crystalline TiGa2Ag at its relaxed geometry.

* ΔE to the lowest computed polymorph: 127 kJ/mol of formula units
* calculated formation energy: 61.5 meV per atom

Cell: 5.7951 5.7951 5.7951 Å, 104.12 104.12 120.79°
Last column: nearest neighbours and their distance in Å.
Sites, in units of the cell vectors:
Ti: 0.0000 0.0000 0.0000  4 Ga 2.66, 2 Ag 2.86
Ti: 0.7500 0.2500 0.5000  4 Ga 2.66, 2 Ag 2.86
Ga: 0.1340 0.6250 0.0090  2 Ag 2.58, 2 Ti 2.66, 2 Ga 2.87
Ga: 0.3750 0.3840 0.5090  2 Ag 2.58, 2 Ti 2.66, 2 Ga 2.87
Ga: 0.6160 0.1250 0.9910  2 Ag 2.58, 2 Ti 2.66, 2 Ga 2.87
Ga: 0.8750 0.8660 0.4910  2 Ag 2.58, 2 Ti 2.66, 2 Ga 2.87
Ag: 0.2500 0.7500 0.5000  4 Ga 2.58, 2 Ti 2.86
Ag: 0.5000 0.5000 0.0000  4 Ga 2.58, 2 Ti 2.86


# 5
The following is a DFT calculation (PBE) of crystalline Pr2Nd3Dy7 at its relaxed geometry.

* calculated formation energy: 84.2 meV per atom

Cell: 5.8771 3.6087 19.0137 Å, 90.00 93.17 90.00°
Last column: nearest neighbours and their distance in Å.
Sites, in units of the cell vectors:
Pr: 0.2102 0.0000 0.2923  3 Dy 3.22-3.38, 2 Pr 3.61
Pr: 0.7898 0.0000 0.7077  3 Dy 3.22-3.38, 2 Pr 3.61
Nd: 0.0000 0.0000 0.0000  8 Dy 3.38-3.45, 2 Nd 3.61
Nd: 0.2773 0.5000 0.6312  2 Nd 3.61, 6 Dy 3.68-3.89, 4 Pr 3.74-3.75
Nd: 0.7227 0.5000 0.3688  2 Nd 3.61, 6 Dy 3.68-3.89, 4 Pr 3.74-3.75
Dy: 0.1884 0.5000 0.1418  7 Dy 3.34-3.61, 2 Pr 3.38, 2 Nd 3.38
Dy: 0.2427 0.0000 0.4620  1 Pr 3.22, 4 Dy 3.27-3.61
Dy: 0.3099 0.0000 0.8284  8 Dy 3.48-3.84, 2 Pr 3.72-3.73, 1 Nd 3.82
Dy: 0.5000 0.5000 0.0000  4 Dy 3.34-3.61, 4 Nd 3.45
Dy: 0.6901 0.0000 0.1716  8 Dy 3.48-3.84, 2 Pr 3.72-3.73, 1 Nd 3.82
Dy: 0.7573 0.0000 0.5380  1 Pr 3.22, 4 Dy 3.27-3.61
Dy: 0.8116 0.5000 0.8582  7 Dy 3.34-3.61, 2 Pr 3.38, 2 Nd 3.38


# 6
The following is a DFT calculation (PBE) of crystalline Cs2AsPbCl6 at its relaxed geometry.

* raw formation energy: -1244 meV/atom

Cell: 8.1746 8.1746 8.1746 Å, 124.57 124.57 82.26°
Last column: nearest neighbours and their distance in Å.
Sites, in units of the cell vectors:
Cs: 0.2500 0.7500 0.5000  12 Cl 3.81-4.09
Cs: 0.7500 0.2500 0.5000  12 Cl 3.81-4.09
As: 0.0000 0.0000 0.0000  4 Cl 2.50
Pb: 0.5000 0.5000 0.0000  6 Cl 2.82-2.88
Cl: 0.2326 0.2326 0.4651  1 As 2.50
Cl: 0.2326 0.7674 0.0000  1 As 2.50
Cl: 0.2707 0.2707 0.0000  1 Pb 2.82
Cl: 0.7293 0.7293 0.0000  1 Pb 2.82
Cl: 0.7674 0.2326 0.0000  1 As 2.50
Cl: 0.7674 0.7674 0.5349  1 As 2.50


# 7
The following is a DFT calculation (PBE) of crystalline Sr2NiRuCl at its relaxed geometry.

* raw formation energy: 269 meV/atom

Cell: 5.8079 5.8079 4.4314 Å, 90.00 90.00 90.00°
Last column: nearest neighbours and their distance in Å.
Sites, in units of the cell vectors:
Sr: 0.0000 0.5000 0.0000  2 Ru 2.90
Sr: 0.5000 0.0000 0.0000  2 Ru 2.90
Ni: 0.0000 0.0000 0.5000  8 Sr 3.65
Ru: 0.5000 0.5000 0.0000  2 Cl 2.22
Cl: 0.5000 0.5000 0.5000  2 Ru 2.22


# 8
The following is a DFT calculation (PBE) of crystalline MgAuC3 at its relaxed geometry.

* ΔE to the lowest computed polymorph: 129 kJ/mol of formula units
* calculated formation energy: 3033.0 meV per atom

Cell: 4.1109 4.1109 4.1109 Å, 90.00 90.00 90.00°
Last column: nearest neighbours and their distance in Å.
Sites, in units of the cell vectors:
Mg: 0.0000 0.0000 0.0000  6 C 2.06
Au: 0.5000 0.5000 0.5000  12 C 2.91
C: 0.0000 0.0000 0.5000  2 Mg 2.06
C: 0.0000 0.5000 0.0000  2 Mg 2.06
C: 0.5000 0.0000 0.0000  2 Mg 2.06


- Which formula does entry 5 have?
  Pr2Nd3Dy7


- Number 4 is which compound?
  TiGa2Ag


Please write out number 2 again, unchanged.
The following is a DFT calculation (PBE) of crystalline PmGdMnAl at its relaxed geometry.

* calculated formation energy: -53.5 meV per atom

Cell: 5.1645 5.1645 5.1645 Å, 60.00 60.00 60.00°
Last column: nearest neighbours and their distance in Å.
Sites, in units of the cell vectors:
Pm: 0.0000 0.0000 0.0000  4 Al 3.16, 4 Mn 3.16
Gd: 0.5000 0.5000 0.5000  4 Mn 3.16, 4 Al 3.16
Mn: 0.2500 0.2500 0.2500  4 Gd 3.16, 4 Pm 3.16
Al: 0.7500 0.7500 0.7500  4 Gd 3.16, 4 Pm 3.16